Here is a crystal of Cd2InRu relaxed with PBEsol from Alexandria. Energies are from meta-GGA SCAN.

Lattice parameters (Å, degrees): 3.4716 3.4716 6.0644 90.00 90.00 90.00
With the nearest neighbours (Å) after each atom.
Space group P4mm (No. 99)
One atom of each set of equivalent atoms:
1 Cd 0.0000 0.0000 0.0000 (multiplicity 1)  1 In 2.79, 4 Ru 2.89, 4 Cd 2.89
2 Cd 0.5000 0.5000 0.2524 (multiplicity 1)  4 Cd 2.89, 4 In 3.01, 2 Ru 3.02-3.05
3 In 0.0000 0.0000 0.5395 (multiplicity 1)  4 Ru 2.77, 5 Cd 2.79-3.01
4 Ru 0.5000 0.5000 0.7498 (multiplicity 1)  4 In 2.77, 6 Cd 2.89-3.05

Computed properties:
The energy comes out at -128.364 eV per cell. As for the formation energy: 0.678 eV per formula unit. The total magnetization is 0.000 μB/atom. For the offset from the most stable computed form, the calculation gives 0.00 eV/f.u.

Here is a crystal of K2SrTe relaxed with PBEsol from Alexandria. Energies are from meta-GGA SCAN.

Lattice parameters (Å, degrees): 5.0963 5.0963 6.2843 90.00 90.00 90.00
With the nearest neighbours (Å) after each atom.
Space group P4/mmm (No. 123)
One atom of each set of equivalent atoms:
1 K 0.0000 0.5000 0.0000 (multiplicity 2)  4 K 3.60
2 Sr 0.0000 0.0000 0.5000 (multiplicity 1)  4 Te 3.60
3 Te 0.5000 0.5000 0.5000 (multiplicity 1)  4 Sr 3.60

Computed properties:
The energy comes out at -78.767 eV per cell. For the raw formation energy, the calculation gives -14.9 kcal/mol of atoms. The total magnetization is 0.000 μB/atom.

Here is a crystal of HfAl2Tl relaxed with PBEsol from Alexandria. Energies are from meta-GGA SCAN.

Lattice parameters (Å, degrees): 7.6058 7.6058 5.7870 90.00 90.00 90.00
With the nearest neighbours (Å) after each atom.
Space group I-42d (No. 122)
One atom of each set of equivalent atoms:
1 Hf 0.0000 0.0000 0.0000 (multiplicity 4)  4 Al 2.85, 2 Tl 2.89
2 Al 0.2370 0.2500 0.6250 (multiplicity 8)  2 Tl 2.72, 2 Hf 2.85, 2 Al 2.90
3 Tl 0.0000 0.0000 0.5000 (multiplicity 4)  4 Al 2.72, 2 Hf 2.89

Computed properties:
The energy comes out at -597.553 eV per cell. As for the formation energy: 1.147 eV per formula unit. The total magnetization is 0.000 μB/atom.